(1)
First-principles (PBE) data for crystalline Zn2ReSe at its relaxed geometry, as listed in the Alexandria database.

POSCAR file:
```
Zn2ReSe
1.0
-1.651 -2.059 0.617
0.898 -1.772 -3.511
4.654 -2.932 2.670
Re Se Zn
1 1 2
direct
0.500 0.500 0.250 Re
0.500 0.500 0.750 Se
0.000 0.000 0.046 Zn
0.000 0.000 0.454 Zn
```

Results
- total moment (μB per atom) = 0.00
- formation energy (no corrections) (meV/atom) = 428
- space group = Pmmm
- polymorph energy (0 for the lowest one) (meV per atom) = 236


(2)
First-principles (PBE) data for crystalline Rb2ScCoBr6 at its relaxed geometry, as listed in the Alexandria database.

POSCAR file:
```
Rb2ScCoBr6
1.0
7.535 0.000 0.000
0.000 7.535 0.000
3.767 3.767 5.323
Sc Co Br Rb
1 1 6 2
direct
0.500 0.500 0.000 Sc
0.000 0.000 0.000 Co
0.248 0.248 0.503 Br
0.752 0.752 0.497 Br
0.249 0.249 0.000 Br
0.751 0.751 0.000 Br
0.751 0.249 0.000 Br
0.249 0.751 0.000 Br
0.750 0.250 0.500 Rb
0.250 0.750 0.500 Rb
```

Results
- total moment (μB per atom) = 0.20
- formation energy (no corrections) (meV/atom) = -1312
- space group = I4/mmm


(3)
First-principles (PBE) data for crystalline TlBi2Pd2 at its relaxed geometry, as listed in the Alexandria database.

POSCAR file:
```
TlBi2Pd2
1.0
4.981 0.000 0.000
0.000 4.981 0.000
2.490 2.490 5.337
Tl Bi Pd
1 2 2
direct
0.000 0.000 0.000 Tl
0.750 0.250 0.500 Bi
0.250 0.750 0.500 Bi
0.373 0.373 0.254 Pd
0.627 0.627 0.746 Pd
```

Results
- total moment (μB per atom) = 0.00
- space group = I4/mmm
- polymorph energy (0 for the lowest one) (meV per atom) = 111
- energy of formation (meV per atom) = -81


(4)
First-principles (PBE) data for crystalline RbZnH2 at its relaxed geometry, as listed in the Alexandria database.

POSCAR file:
```
RbZnH2
1.0
-2.475 -3.775 1.103
-3.835 0.412 2.593
-4.181 -0.678 -1.912
H Zn Rb
2 1 1
direct
0.250 0.250 0.250 H
0.750 0.750 0.750 H
0.000 0.000 0.000 Zn
0.500 0.500 0.500 Rb
```

Results
- total moment (μB per atom) = 0.00
- space group = Fm-3m
- polymorph energy (0 for the lowest one) (meV per atom) = 422


(5)
First-principles (PBE) data for crystalline HgPbAu at its relaxed geometry, as listed in the Alexandria database.

POSCAR file:
```
HgPbAu
1.0
-1.930 -4.396 0.614
2.464 1.019 -4.039
3.161 -1.160 1.636
Pb Au Hg
1 1 1
direct
0.333 0.667 0.703 Pb
0.000 0.000 0.065 Au
0.667 0.333 0.233 Hg
```

Results
- total moment (μB per atom) = 0.00
- space group = P3m1
- polymorph energy (0 for the lowest one) (meV per atom) = 66
- energy of formation (meV per atom) = 21


(6)
First-principles (PBE) data for crystalline CuPBr2 at its relaxed geometry, as listed in the Alexandria database.

POSCAR file:
```
CuPBr2
1.0
-2.931 2.130 1.232
-0.251 -2.305 3.390
4.280 2.833 5.286
Br Cu P
2 1 1
direct
0.000 0.969 0.906 Br
0.500 0.245 0.340 Br
0.000 0.588 0.711 Cu
0.500 0.698 0.543 P
```

Results
- total moment (μB per atom) = 0.00
- formation energy (no corrections) (meV/atom) = -52
- space group = Pm
- polymorph energy (0 for the lowest one) (meV per atom) = 93